(1)
Below is a PBEsol-optimized structure of GaSiTe2I, with properties calculated at the SCAN level.

CIF file:
```
data_GaSiTe2I
_symmetry_space_group_name_H-M 'P 4/m m m'
_symmetry_Int_Tables_number 123
_symmetry_space_group_name_Hall '-P 4 2'
_cell_length_a 5.282
_cell_length_b 5.282
_cell_length_c 5.392
_cell_angle_alpha 90.00
_cell_angle_beta 90.00
_cell_angle_gamma 90.00
loop_
_atom_site_label
_atom_site_fract_x
_atom_site_fract_y
_atom_site_fract_z
Ga1 0.000 0.000 0.000
Si1 0.500 0.500 0.500
Te1 0.000 0.500 0.000
I1 0.000 0.000 0.500
```

Results
- calculated density (g cm⁻³) = 5.30
- VASP energy (eV per atom) = -26.79
- E_form (uncorrected) (meV/atom) = 735
- crystal system = tetragonal

(2)
Below is a PBEsol-optimized structure of Ga2Sn2I, with properties calculated at the SCAN level.

CIF file:
```
data_Ga2Sn2I
_symmetry_space_group_name_H-M 'I 4/m m m'
_symmetry_Int_Tables_number 139
_symmetry_space_group_name_Hall '-I 4 2'
_cell_length_a 4.796
_cell_length_b 4.796
_cell_length_c 11.402
_cell_angle_alpha 90.00
_cell_angle_beta 90.00
_cell_angle_gamma 90.00
loop_
_atom_site_label
_atom_site_fract_x
_atom_site_fract_y
_atom_site_fract_z
Ga1 0.000 0.500 0.250
Sn1 0.000 0.000 0.124
I1 0.000 0.000 0.500
```

Results
- calculated density (g cm⁻³) = 6.38
- VASP energy (eV per atom) = -28.16
- E_form (uncorrected) (meV/atom) = 93
- crystal system = tetragonal

(3)
Below is a PBEsol-optimized structure of Ti2GaSnI, with properties calculated at the SCAN level.

CIF file:
```
data_Ti2GaSnI
_symmetry_space_group_name_H-M 'P 4/m m m'
_symmetry_Int_Tables_number 123
_symmetry_space_group_name_Hall '-P 4 2'
_cell_length_a 5.187
_cell_length_b 5.187
_cell_length_c 5.990
_cell_angle_alpha 90.00
_cell_angle_beta 90.00
_cell_angle_gamma 90.00
loop_
_atom_site_label
_atom_site_fract_x
_atom_site_fract_y
_atom_site_fract_z
Ti1 0.000 0.500 0.000
Ga1 0.000 0.000 0.500
Sn1 0.500 0.500 0.000
I1 0.500 0.500 0.500
```

Results
- calculated density (g cm⁻³) = 4.23
- VASP energy (eV per atom) = -23.20
- E_form (uncorrected) (meV/atom) = 1012
- crystal system = tetragonal

(4)
Below is a PBEsol-optimized structure of SrTaGa2I, with properties calculated at the SCAN level.

CIF file:
```
data_SrTaGa2I
_symmetry_space_group_name_H-M 'P 4/m m m'
_symmetry_Int_Tables_number 123
_symmetry_space_group_name_Hall '-P 4 2'
_cell_length_a 4.998
_cell_length_b 4.998
_cell_length_c 6.343
_cell_angle_alpha 90.00
_cell_angle_beta 90.00
_cell_angle_gamma 90.00
loop_
_atom_site_label
_atom_site_fract_x
_atom_site_fract_y
_atom_site_fract_z
Sr1 0.000 0.000 0.000
Ta1 0.000 0.000 0.500
Ga1 0.000 0.500 0.500
I1 0.500 0.500 0.000
```

Results
- calculated density (g cm⁻³) = 5.61
- VASP energy (eV per atom) = -31.30
- E_form (uncorrected) (meV/atom) = 360
- crystal system = tetragonal

(5)
Below is a PBEsol-optimized structure of SrGaTcI2, with properties calculated at the SCAN level.

CIF file:
```
data_SrGaTcI2
_symmetry_space_group_name_H-M 'P 4/m m m'
_symmetry_Int_Tables_number 123
_symmetry_space_group_name_Hall '-P 4 2'
_cell_length_a 6.152
_cell_length_b 6.152
_cell_length_c 5.769
_cell_angle_alpha 90.00
_cell_angle_beta 90.00
_cell_angle_gamma 90.00
loop_
_atom_site_label
_atom_site_fract_x
_atom_site_fract_y
_atom_site_fract_z
Sr1 0.000 0.000 0.000
Ga1 0.500 0.500 0.500
Tc1 0.000 0.000 0.500
I1 0.000 0.500 0.000
```

Results
- calculated density (g cm⁻³) = 3.87
- VASP energy (eV per atom) = -28.79
- E_form (uncorrected) (meV/atom) = 643
- crystal system = tetragonal

(6)
Below is a PBEsol-optimized structure of SrGaTe2I, with properties calculated at the SCAN level.

CIF file:
```
data_SrGaTe2I
_symmetry_space_group_name_H-M 'P 4/m m m'
_symmetry_Int_Tables_number 123
_symmetry_space_group_name_Hall '-P 4 2'
_cell_length_a 5.360
_cell_length_b 5.360
_cell_length_c 5.737
_cell_angle_alpha 90.00
_cell_angle_beta 90.00
_cell_angle_gamma 90.00
loop_
_atom_site_label
_atom_site_fract_x
_atom_site_fract_y
_atom_site_fract_z
Sr1 0.000 0.000 0.000
Ga1 0.500 0.500 0.500
Te1 0.000 0.500 0.500
I1 0.500 0.500 0.000
```

Results
- calculated density (g cm⁻³) = 5.44
- VASP energy (eV per atom) = -30.65
- E_form (uncorrected) (meV/atom) = -678
- crystal system = tetragonal
- relative energy among the computed polymorphs (meV/atom) = 0.0

(7)
Below is a PBEsol-optimized structure of SrGaTe2I, with properties calculated at the SCAN level.

CIF file:
```
data_SrGaTe2I
_symmetry_space_group_name_H-M 'P 4/m m m'
_symmetry_Int_Tables_number 123
_symmetry_space_group_name_Hall '-P 4 2'
_cell_length_a 6.066
_cell_length_b 6.066
_cell_length_c 6.199
_cell_angle_alpha 90.00
_cell_angle_beta 90.00
_cell_angle_gamma 90.00
loop_
_atom_site_label
_atom_site_fract_x
_atom_site_fract_y
_atom_site_fract_z
Sr1 0.000 0.000 0.000
Ga1 0.500 0.500 0.500
Te1 0.000 0.500 0.000
I1 0.000 0.000 0.500
```

Results
- calculated density (g cm⁻³) = 3.93
- VASP energy (eV per atom) = -30.14
- E_form (uncorrected) (meV/atom) = -166
- crystal system = tetragonal
- relative energy among the computed polymorphs (meV/atom) = 512.0

(8)
Below is a PBEsol-optimized structure of TaGa3I, with properties calculated at the SCAN level.

CIF file:
```
data_TaGa3I
_symmetry_space_group_name_H-M 'P m -3 m'
_symmetry_Int_Tables_number 221
_symmetry_space_group_name_Hall '-P 4 2 3'
_cell_length_a 5.324
_cell_length_b 5.324
_cell_length_c 5.324
_cell_angle_alpha 90.00
_cell_angle_beta 90.00
_cell_angle_gamma 90.00
loop_
_atom_site_label
_atom_site_fract_x
_atom_site_fract_y
_atom_site_fract_z
Ta1 0.000 0.000 0.000
Ga1 0.000 0.500 0.500
I1 0.500 0.500 0.500
```

Results
- calculated density (g cm⁻³) = 5.69
- VASP energy (eV per atom) = -28.57
- E_form (uncorrected) (meV/atom) = 1900
- crystal system = cubic

(9)
Below is a PBEsol-optimized structure of TbGaI, with properties calculated at the SCAN level.

CIF file:
```
data_TbGaI
_symmetry_space_group_name_H-M 'P -3 m 1'
_symmetry_Int_Tables_number 164
_symmetry_space_group_name_Hall '-P 3 2"'
_cell_length_a 4.1393
_cell_length_b 4.1393
_cell_length_c 11.3862
_cell_angle_alpha 90.00
_cell_angle_beta 90.00
_cell_angle_gamma 120.00
loop_
_atom_site_label
_atom_site_fract_x
_atom_site_fract_y
_atom_site_fract_z
Tb1 0.0000 0.0000 0.1751
Ga1 0.3333 0.6667 0.0267
I1 0.3333 0.6667 0.6520
```

Results
- calculated density (g cm⁻³) = 6.99
- VASP energy (eV per atom) = -34.46
- E_form (uncorrected) (meV/atom) = -1173
- crystal system = trigonal

(10)
Below is a PBEsol-optimized structure of GaTcTeI2, with properties calculated at the SCAN level.

CIF file:
```
data_GaTcTeI2
_symmetry_space_group_name_H-M 'P 4/m m m'
_symmetry_Int_Tables_number 123
_symmetry_space_group_name_Hall '-P 4 2'
_cell_length_a 5.552
_cell_length_b 5.552
_cell_length_c 5.004
_cell_angle_alpha 90.00
_cell_angle_beta 90.00
_cell_angle_gamma 90.00
loop_
_atom_site_label
_atom_site_fract_x
_atom_site_fract_y
_atom_site_fract_z
Ga1 0.000 0.000 0.000
Tc1 0.500 0.500 0.500
Te1 0.500 0.500 0.000
I1 0.000 0.500 0.500
```

Results
- calculated density (g cm⁻³) = 5.91
- VASP energy (eV per atom) = -32.07
- E_form (uncorrected) (meV/atom) = 362
- crystal system = tetragonal

(11)
Below is a PBEsol-optimized structure of Ga3Te3I, with properties calculated at the SCAN level.

CIF file:
```
data_Ga3Te3I
_symmetry_space_group_name_H-M 'P n m a'
_symmetry_Int_Tables_number 62
_cell_length_a 11.117
_cell_length_b 4.087
_cell_length_c 19.278
_cell_angle_alpha 90.00
_cell_angle_beta 90.00
_cell_angle_gamma 90.00
loop_
_symmetry_equiv_pos_as_xyz
'x,y,z'
'-x,-y,-z'
'-x+1/2,-y,z+1/2'
'x+1/2,y,-z+1/2'
'x+1/2,-y+1/2,-z+1/2'
'-x+1/2,y+1/2,z+1/2'
'-x,y+1/2,-z'
'x,-y+1/2,z'
loop_
_atom_site_label
_atom_site_fract_x
_atom_site_fract_y
_atom_site_fract_z
Ga1 0.059 0.250 0.101
Ga2 0.160 0.250 0.633
Ga3 0.174 0.250 0.993
Te1 0.084 0.250 0.866
Te2 0.170 0.250 0.497
Te3 0.234 0.250 0.196
I1 0.061 0.750 0.329
```

Results
- calculated density (g cm⁻³) = 5.45
- VASP energy (eV per atom) = -28.62
- E_form (uncorrected) (meV/atom) = -405
- crystal system = orthorhombic

(12)
Below is a PBEsol-optimized structure of ZrGaTe2I, with properties calculated at the SCAN level.

CIF file:
```
data_ZrGaTe2I
_symmetry_space_group_name_H-M 'P 4/m m m'
_symmetry_Int_Tables_number 123
_symmetry_space_group_name_Hall '-P 4 2'
_cell_length_a 5.547
_cell_length_b 5.547
_cell_length_c 5.684
_cell_angle_alpha 90.00
_cell_angle_beta 90.00
_cell_angle_gamma 90.00
loop_
_atom_site_label
_atom_site_fract_x
_atom_site_fract_y
_atom_site_fract_z
Zr1 0.000 0.000 0.000
Ga1 0.500 0.500 0.500
Te1 0.000 0.500 0.000
I1 0.000 0.000 0.500
```

Results
- calculated density (g cm⁻³) = 5.16
- VASP energy (eV per atom) = -31.97
- E_form (uncorrected) (meV/atom) = -310
- crystal system = tetragonal